A geometry-optimized Nb2TcPt structure, computed with PBE.

Lattice parameters (Å, degrees): 7.1608 7.1608 5.7804 51.73 51.73 90.00
Sites, in units of the cell vectors:
Nb1 0.6131 0.1250 0.2500
Nb2 0.1369 0.6250 0.2500
Nb3 0.3750 0.3869 0.7500
Nb4 0.8750 0.8631 0.7500
Tc1 0.5000 0.5000 0.0000
Tc2 0.2500 0.7500 0.5000
Pt1 0.0000 0.0000 0.0000
Pt2 0.7500 0.2500 0.5000

Output
Relative energy among the computed polymorphs   547 meV per atom
N(E_F)   11.730 states/eV per cell
Total magnetic moment   0.00 μB per formula unit
Calculated total energy   -8.9391 eV/atom
Formation energy   0.79 eV/f.u.

---

A geometry-optimized Sc2Hg3Pb3 structure, computed with PBE.

Lattice parameters (Å, degrees): 4.6375 4.7514 8.9667 90.00 90.00 90.00
Sites, in units of the cell vectors:
Sc1 0.0000 0.0000 0.2458
Sc2 0.0000 0.0000 0.7542
Hg1 0.5000 0.5000 0.2421
Hg2 0.5000 0.5000 0.7579
Hg3 0.0000 0.5000 0.0000
Pb1 0.0000 0.5000 0.5000
Pb2 0.5000 0.0000 0.0000
Pb3 0.5000 0.0000 0.5000

Output
N(E_F)   3.380 states/eV per cell
Total magnetic moment   0.00 μB per formula unit
Calculated total energy   -3.2773 eV/atom
Formation energy   -1.53 eV/f.u.

---

A geometry-optimized CaTl3 structure, computed with PBE.

Lattice parameters (Å, degrees): 4.8671 4.8671 4.8671 90.00 90.00 90.00
Sites, in units of the cell vectors:
Tl1 0.0000 0.5000 0.5000
Tl2 0.5000 0.0000 0.5000
Tl3 0.5000 0.5000 0.0000
Ca1 0.0000 0.0000 0.0000

Output
N(E_F)   2.540 states/eV per cell
Total magnetic moment   0.00 μB per formula unit
Calculated total energy   -2.5107 eV/atom
Formation energy   -0.94 eV/f.u.

---

What is the formula in the second record? Sc2Hg3Pb3

---

Number 3 is which compound? CaTl3

---

What is the N(E_F) in the second record? 3.380 states/eV per cell

---

Which value of total magnetic moment does entry 3 give? 0.00 μB per formula unit